Density functional theory data (GGA-PBE) for RbTePb2O8 after structural relaxation.

POSCAR file:
```
RbTePb2O8
1.0
-1.789 -4.130 -2.781
-0.302 -2.479 3.919
-7.651 2.577 1.089
Rb Te Pb O
1 1 2 8
direct
0.000 0.000 0.500
0.000 0.000 0.000
0.500 0.501 0.794
0.500 0.499 0.206
0.161 0.802 0.185
0.701 0.730 0.000
0.838 0.195 0.184
0.839 0.198 0.815
0.299 0.270 0.000
0.162 0.805 0.816
0.503 0.857 0.500
0.497 0.143 0.500
```

Computed properties:
symmetry = P-1, No. 2
E_tot = -5.076 eV per atom
magnetization = 0.5 μB per cell
E_form (uncorrected) = -9.716 eV per formula unit
density = 6.3 g/cm3


Density functional theory data (GGA-PBE) for Rb4ThPb3O12 after structural relaxation.

POSCAR file:
```
Rb4ThPb3O12
1.0
-1.160 4.719 -5.956
-5.524 -5.343 0.149
-0.164 4.038 6.539
Rb Th Pb O
4 1 3 12
direct
0.500 0.500 0.500
0.000 0.000 0.500
0.500 0.000 0.000
0.000 0.500 0.000
0.000 0.000 0.000
0.500 0.000 0.500
0.500 0.500 0.000
0.000 0.500 0.500
0.250 0.500 0.750
0.743 0.000 0.743
0.257 0.000 0.257
0.750 0.500 0.250
0.743 0.743 0.000
0.257 0.257 0.000
0.750 0.250 0.500
0.250 0.750 0.500
0.500 0.250 0.750
0.000 0.743 0.743
0.500 0.750 0.250
0.000 0.257 0.257
```

Computed properties:
symmetry = Im-3m, No. 229
E_tot = -5.339 eV per atom
magnetization = 4.1 μB per cell
E_form (uncorrected) = -24.865 eV per formula unit
density = 6.6 g/cm3


Please write out number 2 again, unchanged.
Density functional theory data (GGA-PBE) for Rb4ThPb3O12 after structural relaxation.

POSCAR file:
```
Rb4ThPb3O12
1.0
-1.160 4.719 -5.956
-5.524 -5.343 0.149
-0.164 4.038 6.539
Rb Th Pb O
4 1 3 12
direct
0.500 0.500 0.500
0.000 0.000 0.500
0.500 0.000 0.000
0.000 0.500 0.000
0.000 0.000 0.000
0.500 0.000 0.500
0.500 0.500 0.000
0.000 0.500 0.500
0.250 0.500 0.750
0.743 0.000 0.743
0.257 0.000 0.257
0.750 0.500 0.250
0.743 0.743 0.000
0.257 0.257 0.000
0.750 0.250 0.500
0.250 0.750 0.500
0.500 0.250 0.750
0.000 0.743 0.743
0.500 0.750 0.250
0.000 0.257 0.257
```

Computed properties:
symmetry = Im-3m, No. 229
E_tot = -5.339 eV per atom
magnetization = 4.1 μB per cell
E_form (uncorrected) = -24.865 eV per formula unit
density = 6.6 g/cm3


Q: Which of these has the highest magnetization?
A: Rb4ThPb3O12


Q: What is the density in the first record?
A: 6.3 g/cm3